Version A
The following is a DFT calculation (GGA-PBEsol) of a relaxed BeTeP2 crystal.

Cell: 3.366 3.366 7.952 Å, 77.78 77.78 60.00°
Fractional positions:
P (0.996, 0.996, 0.011)
P (0.717, 0.717, 0.848)
Te (0.528, 0.528, 0.415)
Be (0.258, 0.258, 0.226)


Version B
The following is a DFT calculation (GGA-PBEsol) of a relaxed BeTeP2 crystal.

Cell: 4.508 4.508 4.508 Å, 60.00 60.00 60.00°
Fractional positions:
P (0.000, 0.000, 0.000)
P (0.750, 0.750, 0.750)
Te (0.500, 0.500, 0.500)
Be (0.250, 0.250, 0.250)


Version C
The following is a DFT calculation (GGA-PBEsol) of a relaxed BeTeP2 crystal.

Cell: 3.563 4.457 4.457 Å, 106.88 90.00 90.00°
Fractional positions:
P (0.000, 0.500, 0.000)
P (0.000, 0.000, 0.500)
Te (0.500, 0.000, 0.000)
Be (0.500, 0.500, 0.500)


Version D
The following is a DFT calculation (GGA-PBEsol) of a relaxed BeTeP2 crystal.

Cell: 3.714 3.793 5.666 Å, 101.70 90.00 90.00°
Fractional positions:
P (0.000, 0.073, 0.824)
P (0.500, 0.723, 0.193)
Te (0.000, 0.535, 0.485)
Be (0.500, 0.170, 0.998)


In terms of stability, version D leads; the second structure lies 24 meV/atom higher.


Version A
The following is a DFT calculation (GGA-PBEsol) of a relaxed BePW2 crystal.

Cell: 4.147 4.147 4.147 Å, 60.00 60.00 60.00°
Fractional positions:
P (0.000, 0.000, 0.000)
W (0.250, 0.250, 0.250)
W (0.750, 0.750, 0.750)
Be (0.500, 0.500, 0.500)


Version B
The following is a DFT calculation (GGA-PBEsol) of a relaxed BePW2 crystal.

Cell: 3.211 3.743 4.376 Å, 90.00 90.00 90.00°
Fractional positions:
P (0.000, 0.500, 0.500)
W (0.000, 0.000, 0.000)
W (0.500, 0.000, 0.500)
Be (0.500, 0.500, 0.000)


In terms of stability, version A leads; the second structure lies 79 meV/atom higher.


Version A
The following is a DFT calculation (GGA-PBEsol) of a relaxed Y2BeP crystal.

Cell: 4.500 4.939 4.500 Å, 117.10 90.00 117.10°
Fractional positions:
Y (0.750, 0.500, 0.250)
Y (0.250, 0.500, 0.750)
P (0.000, 0.000, 0.000)
Be (0.500, 0.000, 0.500)


Version B
The following is a DFT calculation (GGA-PBEsol) of a relaxed Y2BeP crystal.

Cell: 3.549 4.656 4.656 Å, 90.00 90.00 90.00°
Fractional positions:
Y (0.000, 0.000, 0.500)
Y (0.000, 0.500, 0.000)
P (0.500, 0.000, 0.000)
Be (0.500, 0.500, 0.500)


In terms of stability, version B leads; the second structure lies 79 meV/atom higher.


Version A
The following is a DFT calculation (GGA-PBEsol) of a relaxed Y2BeP crystal.

Cell: 3.374 3.374 7.757 Å, 90.00 90.00 108.97°
Fractional positions:
Y (0.000, 0.000, 0.066)
Y (0.500, 0.500, 0.690)
P (0.500, 0.500, 0.313)
Be (0.000, 0.000, 0.431)


Version B
The following is a DFT calculation (GGA-PBEsol) of a relaxed Y2BeP crystal.

Cell: 3.888 3.888 7.135 Å, 74.19 74.19 60.00°
Fractional positions:
Y (0.756, 0.756, 0.731)
Y (0.244, 0.244, 0.269)
P (0.500, 0.500, 0.500)
Be (0.000, 0.000, 0.000)


In terms of stability, version B leads; the second structure lies 295 meV/atom higher.


Version A
The following is a DFT calculation (GGA-PBEsol) of a relaxed BeZn2P crystal.

Cell: 2.535 3.311 6.455 Å, 90.00 101.33 90.00°
Fractional positions:
P (0.164, 0.500, 0.328)
Zn (0.329, 0.000, 0.658)
Zn (0.958, 0.500, 0.915)
Be (0.582, 0.000, 0.164)


Version B
The following is a DFT calculation (GGA-PBEsol) of a relaxed BeZn2P crystal.

Cell: 2.663 2.663 7.277 Å, 90.00 90.00 90.00°
Fractional positions:
P (0.500, 0.500, 0.500)
Zn (0.000, 0.000, 0.784)
Zn (0.000, 0.000, 0.216)
Be (0.500, 0.500, 0.000)


In terms of stability, version A leads; the second structure lies 139 meV/atom higher.


Version A
The following is a DFT calculation (GGA-PBEsol) of a relaxed BeZnP crystal.

Cell: 3.825 3.825 3.825 Å, 60.00 60.00 60.00°
Fractional positions:
P (0.000, 0.000, 0.000)
Zn (0.500, 0.500, 0.500)
Be (0.250, 0.250, 0.250)


Version B
The following is a DFT calculation (GGA-PBEsol) of a relaxed BeZnP crystal.

Cell: 2.630 2.630 6.361 Å, 90.00 90.00 120.00°
Fractional positions:
P (0.333, 0.667, 0.713)
Zn (0.667, 0.333, 0.299)
Be (0.000, 0.000, 0.988)


In terms of stability, version A leads; the second structure lies 233 meV/atom higher.


Version A
The following is a DFT calculation (GGA-PBEsol) of a relaxed Zr2BeP crystal.

Cell: 3.192 4.537 4.537 Å, 102.07 94.16 94.16°
Fractional positions:
P (0.500, 0.000, 0.000)
Zr (0.000, 0.500, 0.000)
Zr (0.000, 0.000, 0.500)
Be (0.500, 0.500, 0.500)


Version B
The following is a DFT calculation (GGA-PBEsol) of a relaxed Zr2BeP crystal.

Cell: 3.532 3.673 5.170 Å, 110.81 90.00 90.00°
Fractional positions:
P (0.500, 0.691, 0.382)
Zr (0.500, 0.979, 0.958)
Zr (0.000, 0.273, 0.547)
Be (0.000, 0.556, 0.112)


In terms of stability, version B leads; the second structure lies 489 meV/atom higher.


Version A
The following is a DFT calculation (GGA-PBEsol) of a relaxed Be5Pb crystal.

Cell: 3.597 4.124 6.070 Å, 109.86 107.23 90.00°
Fractional positions:
Pb (0.269, 0.269, 0.539)
Be (0.017, 0.772, 0.034)
Be (0.420, 0.920, 0.841)
Be (0.509, 0.509, 0.019)
Be (0.599, 0.099, 0.199)
Be (0.017, 0.262, 0.034)


Version B
The following is a DFT calculation (GGA-PBEsol) of a relaxed Be5Pb crystal.

Cell: 3.678 4.743 4.743 Å, 120.00 90.00 90.00°
Fractional positions:
Pb (0.000, 0.000, 0.000)
Be (0.000, 0.667, 0.333)
Be (0.000, 0.333, 0.667)
Be (0.500, 0.500, 0.500)
Be (0.500, 0.000, 0.500)
Be (0.500, 0.500, 0.000)


In terms of stability, version A leads; the second structure lies 78 meV/atom higher.


Version A
The following is a DFT calculation (GGA-PBEsol) of a relaxed BeRuPb crystal.

Cell: 3.068 3.068 6.066 Å, 90.00 90.00 120.00°
Fractional positions:
Pb (0.667, 0.333, 0.658)
Ru (0.333, 0.667, 0.290)
Be (0.000, 0.000, 0.052)


Version B
The following is a DFT calculation (GGA-PBEsol) of a relaxed BeRuPb crystal.

Cell: 4.054 4.054 4.054 Å, 60.00 60.00 60.00°
Fractional positions:
Pb (0.000, 0.000, 0.000)
Ru (0.500, 0.500, 0.500)
Be (0.250, 0.250, 0.250)


In terms of stability, version B leads; the second structure lies 83 meV/atom higher.


Version A
The following is a DFT calculation (GGA-PBEsol) of a relaxed BeSbPb crystal.

Cell: 4.641 4.641 4.641 Å, 60.00 60.00 60.00°
Fractional positions:
Pb (0.000, 0.000, 0.000)
Sb (0.500, 0.500, 0.500)
Be (0.250, 0.250, 0.250)


Version B
The following is a DFT calculation (GGA-PBEsol) of a relaxed BeSbPb crystal.

Cell: 4.008 4.008 5.040 Å, 90.00 90.00 120.00°
Fractional positions:
Pb (0.333, 0.667, 0.716)
Sb (0.667, 0.333, 0.216)
Be (0.000, 0.000, 0.068)


In terms of stability, version B leads; the second structure lies 170 meV/atom higher.


Version A
The following is a DFT calculation (GGA-PBEsol) of a relaxed BeSb2Pb crystal.

Cell: 3.253 3.253 9.132 Å, 90.00 90.00 105.76°
Fractional positions:
Pb (0.500, 0.500, 0.300)
Sb (0.000, 0.000, 0.998)
Sb (0.500, 0.500, 0.688)
Be (0.000, 0.000, 0.514)


Version B
The following is a DFT calculation (GGA-PBEsol) of a relaxed BeSb2Pb crystal.

Cell: 3.874 4.763 5.635 Å, 105.61 90.00 90.00°
Fractional positions:
Pb (0.500, 0.371, 0.685)
Sb (0.000, 0.061, 0.991)
Sb (0.500, 0.752, 0.272)
Be (0.000, 0.816, 0.553)


In terms of stability, version B leads; the second structure lies 71 meV/atom higher.


Version A
The following is a DFT calculation (GGA-PBEsol) of a relaxed Sc2BePb crystal.

Cell: 3.281 3.281 7.221 Å, 90.00 90.00 90.00°
Fractional positions:
Pb (0.500, 0.500, 0.500)
Sc (0.000, 0.000, 0.789)
Sc (0.000, 0.000, 0.211)
Be (0.500, 0.500, 0.000)


Version B
The following is a DFT calculation (GGA-PBEsol) of a relaxed Sc2BePb crystal.

Cell: 3.257 3.257 7.722 Å, 90.00 90.00 90.00°
Fractional positions:
Pb (0.500, 0.500, 0.707)
Sc (0.000, 0.000, 0.004)
Sc (0.500, 0.500, 0.292)
Be (0.000, 0.000, 0.497)


In terms of stability, version A leads; the second structure lies 238 meV/atom higher.


Version A
The following is a DFT calculation (GGA-PBEsol) of a relaxed Ta2BePb crystal.

Cell: 3.549 4.446 5.157 Å, 115.53 110.13 90.00°
Fractional positions:
Pb (0.228, 0.728, 0.457)
Be (0.499, 0.499, 0.998)
Ta (0.001, 0.001, 0.002)
Ta (0.771, 0.271, 0.543)


Version B
The following is a DFT calculation (GGA-PBEsol) of a relaxed Ta2BePb crystal.

Cell: 2.952 2.952 7.812 Å, 90.00 90.00 90.00°
Fractional positions:
Pb (0.500, 0.500, 0.500)
Be (0.500, 0.500, 0.000)
Ta (0.000, 0.000, 0.804)
Ta (0.000, 0.000, 0.196)


In terms of stability, version B leads; the second structure lies 88 meV/atom higher.